DFT (PBE) results for Ni2Pd2Rh after structural relaxation.

Calculated values
- distance to the lowest polymorph of the same formula (meV/atom) = 0
- formation enthalpy at 0 K (meV per atom) = 223

Unit cell a=6.9588 b=6.9588 c=2.8804 alpha=90.00 beta=90.00 gamma=90.00
Closest atoms and distances in Å follow each position.
Sites, in units of the cell vectors:
Ni (0.8782, 0.6218, 0.0000)  1 Ni 2.40, 6 Pd 2.47-2.54
Ni (0.1218, 0.3782, 0.0000)  1 Ni 2.40, 6 Pd 2.47-2.54
Ni (0.6218, 0.1218, 0.0000)  1 Ni 2.40, 6 Pd 2.47-2.54
Ni (0.3782, 0.8782, 0.0000)  1 Ni 2.40, 6 Pd 2.47-2.54
Pd (0.1749, 0.6749, 0.5000)  6 Ni 2.47-2.54
Pd (0.6749, 0.8251, 0.5000)  6 Ni 2.47-2.54
Pd (0.3251, 0.1749, 0.5000)  6 Ni 2.47-2.54
Pd (0.8251, 0.3251, 0.5000)  6 Ni 2.47-2.54
Rh (0.0000, 0.0000, 0.0000)  4 Ni 2.77, 2 Rh 2.88, 8 Pd 2.95
Rh (0.5000, 0.5000, 0.0000)  4 Ni 2.77, 2 Rh 2.88, 8 Pd 2.95

***

DFT (PBE) results for Sc2CrIr after structural relaxation.

Calculated values
- formation enthalpy at 0 K (meV per atom) = 313

Unit cell a=9.5039 b=9.5039 c=9.5039 alpha=17.94 beta=17.94 gamma=17.94
Closest atoms and distances in Å follow each position.
Sites, in units of the cell vectors:
Sc (0.9109, 0.9109, 0.9109)  1 Ir 2.50, 3 Cr 2.77
Sc (0.0891, 0.0891, 0.0891)  1 Ir 2.50, 3 Cr 2.77
Ir (0.0000, 0.0000, 0.0000)  2 Sc 2.50
Cr (0.5000, 0.5000, 0.5000)  6 Sc 2.77, 6 Cr 2.96

***

DFT (PBE) results for Pr2DySi2 after structural relaxation.

Calculated values
- distance to the lowest polymorph of the same formula (meV/atom) = 16

Unit cell a=4.3840 b=6.6372 c=10.0099 alpha=78.35 beta=77.35 gamma=70.72
Closest atoms and distances in Å follow each position.
Sites, in units of the cell vectors:
Dy (0.7751, 0.0829, 0.3669)  4 Si 2.87-3.02
Dy (0.2249, 0.9171, 0.6331)  4 Si 2.87-3.02
Si (0.1090, 0.3354, 0.4466)  1 Si 2.44
Si (0.9909, 0.1240, 0.8942)  1 Si 2.41
Si (0.0091, 0.8760, 0.1058)  1 Si 2.41
Si (0.8910, 0.6646, 0.5534)  1 Si 2.44
Pr (0.4847, 0.3420, 0.6885)  6 Si 3.14-3.23
Pr (0.5153, 0.6580, 0.3115)  6 Si 3.14-3.23
Pr (0.3207, 0.2678, 0.0907)  4 Si 3.13-3.28
Pr (0.6793, 0.7322, 0.9093)  4 Si 3.13-3.28

***

DFT (PBE) results for DyHoIn after structural relaxation.

Calculated values
- distance to the lowest polymorph of the same formula (meV/atom) = 530
- formation enthalpy at 0 K (meV per atom) = 215

Unit cell a=5.0256 b=6.6336 c=6.6336 alpha=90.38 beta=90.00 gamma=90.00
Closest atoms and distances in Å follow each position.
Sites, in units of the cell vectors:
In (0.0000, 0.0000, 0.0000)  2 Ho 2.96, 4 Dy 3.05
In (0.5000, 0.5000, 0.5000)  2 Dy 2.98, 4 Ho 3.04
Dy (0.5000, 0.1836, 0.8164)  3 In 2.98-3.05
Dy (0.5000, 0.8164, 0.1836)  3 In 2.98-3.05
Ho (0.0000, 0.6832, 0.6832)  3 In 2.96-3.04
Ho (0.0000, 0.3168, 0.3168)  3 In 2.96-3.04

***

Number 1: raw total energy -56.37 eV/cell. Number 2: raw total energy -29.89 eV/cell. Number 3: raw total energy -56.15 eV/cell. Number 4: raw total energy -22.54 eV/cell.